No. 1
## LiInB2 (PBE)

Data for a relaxed structure of LiInB2.

Unit cell a=3.4447 b=3.4447 c=10.2506 alpha=80.33 beta=80.33 gamma=90.00
Positions (direct):
B  0.8750  0.1250  0.7500
B  0.8750  0.6250  0.2500
Li  0.5000  0.5000  0.0000
B  0.3750  0.1250  0.7500
B  0.8750  0.1250  0.2500
In  0.0000  0.0000  0.0000
Li  0.2500  0.7500  0.5000
In  0.7500  0.2500  0.5000

Results
- Formation energy: 0.796 eV per atom
- N(E_F): 2.45 states/eV per cell
- ρ: 4.03 g/cm³
- Final energy: -3.706 eV per atom

No. 2
## CsK3Fe (PBE)

Data for a relaxed structure of CsK3Fe.

Unit cell a=8.0508 b=8.0508 c=8.0508 alpha=90.00 beta=90.00 gamma=90.00
Site moments in Bohr magnetons follow the coordinates.
Positions (direct):
Fe  0.5000  0.5000  0.5000  3.32
K  0.5000  0.0000  0.0000  0.00
Cs  0.0000  0.0000  0.0000  0.00
K  0.0000  0.0000  0.5000  0.00
K  0.0000  0.5000  0.0000  0.00

Results
- Formation energy: 1.204 eV per atom
- N(E_F): 14.07 states/eV per cell
- ρ: 0.97 g/cm³
- Final energy: -1.317 eV per atom

Q: Which of these has the lowest N(E_F)?
A: LiInB2

Q: Which formula does entry 1 have?
A: LiInB2